{
  "formula": "Nd2Zn3Co",
  "functional": "GGA-PBE",
  "state": "optimized geometry",
  "vol_a3_per_atom": 20.29,
  "e_form_ev_per_atom": -0.249,
  "sg": "Cm",
  "dos_ef_per_ev_cell": 3.92,
  "cell": [[3.9869, 0.0000, 1.6697], [1.7433, 5.0511, 1.4323], [-0.1582, -0.0573, 5.9724]],
  "species": ["Zn", "Zn", "Zn", "Nd", "Nd", "Co"],
  "fractional_positions": [[0.8490, 0.6057, 0.6963], [0.1775, 0.7331, 0.9119], [0.8173, 0.2594, 0.1061], [0.5606, 0.1996, 0.6792], [0.4453, 0.8172, 0.2921], [0.1503, 0.3850, 0.3144]]
}

=====

{
  "formula": "Nd2ZnCo",
  "functional": "GGA-PBE",
  "state": "optimized geometry",
  "vol_a3_per_atom": 31.77,
  "e_form_ev_per_atom": 0.217,
  "sg": "R-3m",
  "dos_ef_per_ev_cell": 3.52,
  "cell": [[3.9165, 0.0000, 0.0000], [1.9582, 3.3917, 0.0000], [1.9582, 1.1306, 9.5675]],
  "species": ["Zn", "Nd", "Nd", "Co"],
  "fractional_positions": [[0.0000, 0.0000, 0.0000], [0.8859, 0.8859, 0.3422], [0.1141, 0.1141, 0.6578], [0.5000, 0.5000, 0.5000]]
}

=====

{
  "formula": "NdZn7Co5",
  "functional": "GGA-PBE",
  "state": "optimized geometry",
  "vol_a3_per_atom": 14.26,
  "e_form_ev_per_atom": -0.129,
  "sg": "Imm2",
  "dos_ef_per_ev_cell": 9.95,
  "cell": [[4.5737, 0.0000, 1.8784], [2.2839, 6.1227, 0.9463], [-0.0392, 0.0275, 6.6028]],
  "species": ["Co", "Co", "Co", "Co", "Co", "Zn", "Zn", "Zn", "Zn", "Zn", "Zn", "Zn", "Nd"],
  "fractional_positions": [[0.9995, 0.9984, 0.5088], [0.4933, 0.5088, 0.9984], [0.7341, 0.7659, 0.7659], [0.4933, 0.9984, 0.5088], [0.9995, 0.5088, 0.9984], [0.2706, 0.2294, 0.2294], [0.3487, 0.6513, 0.6513], [0.4996, 0.2195, 0.7813], [0.6644, 0.3356, 0.3356], [0.9927, 0.3552, 0.6593], [0.4996, 0.7813, 0.2195], [0.9927, 0.6593, 0.3552], [0.0119, 0.9881, 0.9881]]
}

=====

{
  "formula": "NdZn2Co",
  "functional": "GGA-PBE",
  "state": "optimized geometry",
  "vol_a3_per_atom": 18.04,
  "e_form_ev_per_atom": -0.238,
  "sg": "Pnma",
  "dos_ef_per_ev_cell": 23.84,
  "cell": [[5.3733, 0.0000, 0.0000], [0.0000, 7.2657, 0.0000], [0.0000, 0.0000, 14.7873]],
  "species": ["Zn", "Zn", "Zn", "Zn", "Zn", "Zn", "Zn", "Zn", "Zn", "Zn", "Zn", "Zn", "Zn", "Zn", "Zn", "Zn", "Co", "Co", "Co", "Co", "Co", "Co", "Co", "Co", "Nd", "Nd", "Nd", "Nd", "Nd", "Nd", "Nd", "Nd"],
  "fractional_positions": [[0.2259, 0.4388, 0.9552], [0.9375, 0.4499, 0.2088], [0.9375, 0.0501, 0.2088], [0.0625, 0.5501, 0.7912], [0.4375, 0.9499, 0.2912], [0.2259, 0.0612, 0.9552], [0.5625, 0.4499, 0.7088], [0.2741, 0.4388, 0.4552], [0.0625, 0.9499, 0.7912], [0.5625, 0.0501, 0.7088], [0.7741, 0.5612, 0.0448], [0.7741, 0.9388, 0.0448], [0.4375, 0.5501, 0.2912], [0.2741, 0.0612, 0.4552], [0.7259, 0.9388, 0.5448], [0.7259, 0.5612, 0.5448], [0.6997, 0.7500, 0.1926], [0.3003, 0.2500, 0.8074], [0.9888, 0.2500, 0.0712], [0.4888, 0.7500, 0.4288], [0.5112, 0.2500, 0.5712], [0.1997, 0.2500, 0.3074], [0.8003, 0.7500, 0.6926], [0.0112, 0.7500, 0.9288], [0.5473, 0.7500, 0.8622], [0.4527, 0.2500, 0.1378], [0.9527, 0.7500, 0.3622], [0.7571, 0.2500, 0.3990], [0.0473, 0.2500, 0.6378], [0.2429, 0.7500, 0.6010], [0.2571, 0.7500, 0.1010], [0.7429, 0.2500, 0.8990]]
}

=====

{
  "formula": "Nd2Zn3Co2",
  "functional": "GGA-PBE",
  "state": "optimized geometry",
  "vol_a3_per_atom": 18.71,
  "e_form_ev_per_atom": -0.175,
  "sg": "C2/m",
  "dos_ef_per_ev_cell": 6.31,
  "cell": [[-0.1689, 4.1946, -1.1515], [-2.4985, -3.3011, -3.4305], [-4.2513, 1.1002, 4.6315]],
  "species": ["Zn", "Zn", "Zn", "Nd", "Nd", "Co", "Co"],
  "fractional_positions": [[0.7067, 0.4134, 0.8779], [0.2933, 0.5866, 0.1221], [0.0000, 0.0000, 0.0000], [0.6213, 0.2425, 0.3449], [0.3787, 0.7575, 0.6551], [0.0803, 0.1606, 0.6691], [0.9197, 0.8394, 0.3309]]
}

=====

{
  "formula": "NdZn5Co2",
  "functional": "GGA-PBE",
  "state": "optimized geometry",
  "vol_a3_per_atom": 16.35,
  "e_form_ev_per_atom": -0.130,
  "sg": "Immm",
  "dos_ef_per_ev_cell": 4.56,
  "cell": [[3.9292, 0.0000, 0.0000], [1.9646, 5.8462, -0.2121], [1.9646, 1.5567, 5.6391]],
  "species": ["Zn", "Zn", "Zn", "Zn", "Zn", "Co", "Co", "Nd"],
  "fractional_positions": [[0.0000, 0.5000, 0.5000], [0.6606, 0.1571, 0.5217], [0.3394, 0.4783, 0.8429], [0.3394, 0.8429, 0.4783], [0.6606, 0.5217, 0.1571], [0.7406, 0.7594, 0.7594], [0.2594, 0.2406, 0.2406], [0.0000, 0.0000, 0.0000]]
}

=====

Which formula does entry 5 have?
Nd2Zn3Co2